# RbBe2Sb2

A PBEsol-optimized structure of RbBe2Sb2 (SCAN, Alexandria).

```
RbBe2Sb2
1.0
3.817 0.000 0.000
0.000 3.817 0.000
-1.909 -1.909 8.293
Sb Rb Be
2 1 2
Direct
0.347 0.347 0.695
0.653 0.653 0.305
0.000 0.000 0.000
0.250 0.750 0.500
0.750 0.250 0.500
```

## Properties
The calculation puts the total energy at -104.72 eV/f.u. Its crystal system is tetragonal. As for the density of states at the Fermi level: 1.42 states/eV per cell.